# PBE-GGA Ac12InSn6, optimized geometry
# M_tot   0.01 μB/atom
# Final energy   -4.3548 eV per atom
data_Ac12InSn6
_chemical_formula_sum 'Ac36 In3 Sn18'
_space_group_name_H-M_alt 'R -3'
_space_group_IT_number 148
_space_group_name_Hall '-R 3'
_cell_length_a 14.8848
_cell_length_b 14.8848
_cell_length_c 13.2365
_cell_angle_alpha 90.00
_cell_angle_beta 90.00
_cell_angle_gamma 120.00
loop_
_atom_site_label
_atom_site_fract_x
_atom_site_fract_y
_atom_site_fract_z
Ac1 0.0311 0.2021 0.3872
Ac2 0.0556 0.2178 0.8879
In1 0.0000 0.0000 0.0000
Sn1 0.0426 0.2678 0.6456

***

# PBE-GGA Ac3InSn2, optimized geometry
# M_tot   0.00 μB/atom
# Final energy   -4.4312 eV per atom
# ΔE to the lowest computed polymorph   0 meV per atom
data_Ac3InSn2
_chemical_formula_sum 'Ac12 In4 Sn8'
_space_group_name_H-M_alt 'P n m a'
_space_group_IT_number 62
_space_group_name_Hall '-P 2ac 2n'
_cell_length_a 13.482
_cell_length_b 4.863
_cell_length_c 13.193
_cell_angle_alpha 90.00
_cell_angle_beta 90.00
_cell_angle_gamma 90.00
loop_
_atom_site_label
_atom_site_fract_x
_atom_site_fract_y
_atom_site_fract_z
Ac1 0.050 0.250 0.120
Ac2 0.126 0.750 0.561
Ac3 0.208 0.250 0.801
In1 0.134 0.250 0.365
Sn1 0.012 0.750 0.315
Sn2 0.187 0.750 0.008

***

# PBE-GGA AcIn2Sn, optimized geometry
# M_tot   0.00 μB/atom
# Final energy   -3.6750 eV per atom
# ΔE to the lowest computed polymorph   171 meV per atom
data_AcIn2Sn
_chemical_formula_sum 'Ac3 In6 Sn3'
_space_group_name_H-M_alt 'R -3 m'
_space_group_IT_number 166
_space_group_name_Hall '-R 3 2"'
_cell_length_a 5.1523
_cell_length_b 5.1523
_cell_length_c 16.3514
_cell_angle_alpha 90.00
_cell_angle_beta 90.00
_cell_angle_gamma 120.00
loop_
_atom_site_label
_atom_site_fract_x
_atom_site_fract_y
_atom_site_fract_z
Ac1 0.0000 0.0000 0.0000
In1 0.0000 0.0000 0.2244
Sn1 0.0000 0.0000 0.5000

***

# PBE-GGA AcIn3Sn2, optimized geometry
# M_tot   0.00 μB/atom
# Final energy   -3.6289 eV per atom
data_AcIn3Sn2
_chemical_formula_sum 'Ac2 In6 Sn4'
_space_group_name_H-M_alt 'C m m m'
_space_group_IT_number 65
_space_group_name_Hall '-C 2 2'
_cell_length_a 5.207
_cell_length_b 12.644
_cell_length_c 5.314
_cell_angle_alpha 90.00
_cell_angle_beta 90.00
_cell_angle_gamma 90.00
loop_
_atom_site_label
_atom_site_fract_x
_atom_site_fract_y
_atom_site_fract_z
Ac1 0.000 0.000 0.000
In1 0.000 0.176 0.500
In2 0.000 0.500 0.500
Sn1 0.000 0.312 0.000

***

# PBE-GGA AcTbInSn, optimized geometry
# M_tot   0.00 μB/atom
# Final energy   -4.3482 eV per atom
data_AcTbInSn
_chemical_formula_sum 'Ac4 Tb4 In4 Sn4'
_space_group_name_H-M_alt 'F -4 3 m'
_space_group_IT_number 216
_space_group_name_Hall 'F -4 2 3'
_cell_length_a 7.906
_cell_length_b 7.906
_cell_length_c 7.906
_cell_angle_alpha 90.00
_cell_angle_beta 90.00
_cell_angle_gamma 90.00
loop_
_atom_site_label
_atom_site_fract_x
_atom_site_fract_y
_atom_site_fract_z
Ac1 0.000 0.000 0.000
Tb1 0.000 0.000 0.500
In1 0.250 0.250 0.250
Sn1 0.250 0.250 0.750

***

# PBE-GGA AcIn2SnTe4, optimized geometry
# M_tot   0.00 μB/atom
# Energy relative to the elements, uncorrected   -0.62 eV/atom
# Final energy   -3.8905 eV per atom
data_AcIn2SnTe4
_chemical_formula_sum 'Ac1 In2 Sn1 Te4'
_space_group_name_H-M_alt 'P 1 2/m 1'
_space_group_IT_number 10
_space_group_name_Hall '-P 2y'
_cell_length_a 8.046
_cell_length_b 4.635
_cell_length_c 8.116
_cell_angle_alpha 90.00
_cell_angle_beta 109.42
_cell_angle_gamma 90.00
loop_
_atom_site_label
_atom_site_fract_x
_atom_site_fract_y
_atom_site_fract_z
Ac1 0.000 0.000 0.000
In1 0.000 0.500 0.500
In2 0.500 0.000 0.500
Sn1 0.500 0.500 0.000
Te1 0.255 0.500 0.248
Te2 0.256 0.000 0.754

***

# PBE-GGA Ac2In3SnTe6, optimized geometry
# M_tot   0.00 μB/atom
# Energy relative to the elements, uncorrected   -0.76 eV/atom
# Final energy   -4.0315 eV per atom
data_Ac2In3SnTe6
_chemical_formula_sum 'Ac4 In6 Sn2 Te12'
_space_group_name_H-M_alt 'C 1 2/m 1'
_space_group_IT_number 12
_space_group_name_Hall '-C 2y'
_cell_length_a 20.740
_cell_length_b 4.684
_cell_length_c 9.488
_cell_angle_alpha 90.00
_cell_angle_beta 104.67
_cell_angle_gamma 90.00
loop_
_atom_site_label
_atom_site_fract_x
_atom_site_fract_y
_atom_site_fract_z
Ac1 0.162 0.000 0.328
In1 0.000 0.500 0.500
In2 0.170 0.000 0.836
Sn1 0.000 0.500 0.000
Te1 0.002 0.000 0.758
Te2 0.162 0.500 0.083
Te3 0.170 0.500 0.581

***

# PBE-GGA Ac4InSnTe2, optimized geometry
# M_tot   0.00 μB/atom
# Energy relative to the elements, uncorrected   -1.00 eV/atom
# Final energy   -4.6805 eV per atom
data_Ac4InSnTe2
_chemical_formula_sum 'Ac4 In1 Sn1 Te2'
_space_group_name_H-M_alt 'P 1 2/m 1'
_space_group_IT_number 10
_space_group_name_Hall '-P 2y'
_cell_length_a 8.127
_cell_length_b 4.760
_cell_length_c 8.557
_cell_angle_alpha 90.00
_cell_angle_beta 108.89
_cell_angle_gamma 90.00
loop_
_atom_site_label
_atom_site_fract_x
_atom_site_fract_y
_atom_site_fract_z
Ac1 0.244 0.000 0.242
Ac2 0.250 0.500 0.753
In1 0.500 0.000 0.000
Sn1 0.000 0.500 0.000
Te1 0.000 0.000 0.500
Te2 0.500 0.500 0.500

***

# PBE-GGA AcTmInSn, optimized geometry
# M_tot   0.00 μB/atom
# Final energy   -4.2749 eV per atom
data_AcTmInSn
_chemical_formula_sum 'Ac4 Tm4 In4 Sn4'
_space_group_name_H-M_alt 'F -4 3 m'
_space_group_IT_number 216
_space_group_name_Hall 'F -4 2 3'
_cell_length_a 7.860
_cell_length_b 7.860
_cell_length_c 7.860
_cell_angle_alpha 90.00
_cell_angle_beta 90.00
_cell_angle_gamma 90.00
loop_
_atom_site_label
_atom_site_fract_x
_atom_site_fract_y
_atom_site_fract_z
Ac1 0.000 0.000 0.000
Tm1 0.000 0.000 0.500
In1 0.250 0.250 0.750
Sn1 0.250 0.250 0.250

***

# PBE-GGA AcYInSn, optimized geometry
# M_tot   0.00 μB/atom
# Final energy   -4.8175 eV per atom
data_AcYInSn
_chemical_formula_sum 'Ac4 Y4 In4 Sn4'
_space_group_name_H-M_alt 'F -4 3 m'
_space_group_IT_number 216
_space_group_name_Hall 'F -4 2 3'
_cell_length_a 7.900
_cell_length_b 7.900
_cell_length_c 7.900
_cell_angle_alpha 90.00
_cell_angle_beta 90.00
_cell_angle_gamma 90.00
loop_
_atom_site_label
_atom_site_fract_x
_atom_site_fract_y
_atom_site_fract_z
Ac1 0.000 0.000 0.000
Y1 0.000 0.000 0.500
In1 0.250 0.250 0.250
Sn1 0.250 0.250 0.750

***

# PBE-GGA Ac2Zn3InSn4, optimized geometry
# M_tot   0.00 μB/atom
# Final energy   -3.4096 eV per atom
data_Ac2Zn3InSn4
_chemical_formula_sum 'Ac2 Zn3 In1 Sn4'
_space_group_name_H-M_alt 'P -4 m 2'
_space_group_IT_number 115
_space_group_name_Hall 'P -4 -2'
_cell_length_a 5.035
_cell_length_b 5.035
_cell_length_c 10.468
_cell_angle_alpha 90.00
_cell_angle_beta 90.00
_cell_angle_gamma 90.00
loop_
_atom_site_label
_atom_site_fract_x
_atom_site_fract_y
_atom_site_fract_z
Ac1 0.000 0.500 0.247
Zn1 0.000 0.500 0.886
Zn2 0.500 0.500 0.500
In1 0.000 0.000 0.500
Sn1 0.000 0.000 0.000
Sn2 0.000 0.500 0.635
Sn3 0.500 0.500 0.000

***

# PBE-GGA Ac2Zn4In3Sn, optimized geometry
# M_tot   0.00 μB/atom
# Final energy   -2.9251 eV per atom
data_Ac2Zn4In3Sn
_chemical_formula_sum 'Ac2 Zn4 In3 Sn1'
_space_group_name_H-M_alt 'P -4 m 2'
_space_group_IT_number 115
_space_group_name_Hall 'P -4 -2'
_cell_length_a 4.695
_cell_length_b 4.695
_cell_length_c 11.189
_cell_angle_alpha 90.00
_cell_angle_beta 90.00
_cell_angle_gamma 90.00
loop_
_atom_site_label
_atom_site_fract_x
_atom_site_fract_y
_atom_site_fract_z
Ac1 0.000 0.500 0.240
Zn1 0.000 0.000 0.000
Zn2 0.000 0.500 0.640
Zn3 0.500 0.500 0.000
In1 0.000 0.500 0.874
In2 0.500 0.500 0.500
Sn1 0.000 0.000 0.500